The following is a GGA-PBE calculation of crystalline Na2Li4Bi at its relaxed geometry, from Alexandria.

## Properties
Formation energy ... -63 meV per atom
Magnetization ... 0.000 Bohr magnetons per cell
Total energy ... -2.088 eV/atom

Lattice parameters (Å, degrees): 5.216 5.216 8.949 73.06 73.06 90.00
Element x y z (fractional)
Na: 0.364 0.364 0.271
Na: 0.636 0.636 0.729
Bi: 0.000 0.000 0.000
Li: 0.171 0.171 0.658
Li: 0.829 0.829 0.342
Li: 0.000 0.500 0.000
Li: 0.500 0.000 0.000